## TbZn2O4 (GGA-PBE)

Data for an optimized crystal structure of TbZn2O4.

Cell lengths 6.277, 6.277, 6.277 Å; angles 120.00, 90.00, 120.00 degrees
Site moments in Bohr magnetons follow the coordinates.
Element x y z (fractional)
O: 0.139 0.278 0.861  0.15
O: 0.611 0.222 0.833  0.16
O: 0.139 0.278 0.417  0.16
O: 0.611 0.222 0.389  0.15
O: 0.583 0.722 0.861  0.21
O: 0.611 0.778 0.389  0.22
O: 0.139 0.722 0.861  0.22
O: 0.167 0.778 0.389  0.21
Zn: 0.875 0.250 0.625  0.06
Zn: 0.375 0.750 0.625  0.10
Zn: 0.375 0.750 0.125  0.09
Zn: 0.375 0.250 0.625  0.05
Tb: 0.000 0.000 0.000  -0.01
Tb: 0.750 0.500 0.250  -0.01

## Properties
Energy ... -79.439 eV per cell
V ... 12.492 A^3/atom
SG ... Fd-3m, No. 227